A relaxed structure of CdP2Os. Source: the Alexandria database, functional PBE-GGA.

Summary:
The value obtained for the spin magnetization is 0.000 μB per formula unit. Its symmetry is P4/mmm, No. 123. Its density of states at the Fermi level is 2.054 states/eV/cell. The formation energy is 0.14 eV/atom. The energy above the lowest structure with this stoichiometry is 0.141 eV per atom.

Unit cell a=2.877 b=2.877 c=9.174 alpha=90.00 beta=90.00 gamma=90.00
Sites, in units of the cell vectors:
Cd1 0.000 0.000 0.000
P1 0.500 0.500 0.335
P2 0.500 0.500 0.665
Os1 0.000 0.000 0.500

---

A relaxed structure of As2PtW. Source: the Alexandria database, functional PBE-GGA.

Summary:
The value obtained for the spin magnetization is 0.000 μB per formula unit. Its symmetry is I-42d, No. 122. Its density of states at the Fermi level is 5.574 states/eV/cell. The formation energy is 0.34 eV/atom. The energy above the lowest structure with this stoichiometry is 0.304 eV per atom.

Unit cell a=6.882 b=6.882 c=6.882 alpha=131.28 beta=131.28 gamma=71.36
Sites, in units of the cell vectors:
As1 0.123 0.625 0.998
As2 0.375 0.373 0.498
As3 0.627 0.125 0.002
As4 0.875 0.877 0.502
Pt1 0.250 0.750 0.500
Pt2 0.500 0.500 0.000
W1 0.000 0.000 0.000
W2 0.750 0.250 0.500

---

A relaxed structure of Al4Co3Pd. Source: the Alexandria database, functional PBE-GGA.

Summary:
The value obtained for the spin magnetization is 0.000 μB per formula unit. Its symmetry is P4/mmm, No. 123. Its density of states at the Fermi level is 3.507 states/eV/cell. The formation energy is -0.66 eV/atom.

Unit cell a=2.835 b=2.835 c=12.307 alpha=90.00 beta=90.00 gamma=90.00
Sites, in units of the cell vectors:
Al1 0.000 0.000 0.118
Al2 0.000 0.000 0.354
Al3 0.000 0.000 0.646
Al4 0.000 0.000 0.882
Co1 0.500 0.500 0.000
Co2 0.500 0.500 0.236
Co3 0.500 0.500 0.764
Pd1 0.500 0.500 0.500

---

A relaxed structure of Ba3Sr5Br12. Source: the Alexandria database, functional PBE-GGA.

Summary:
The value obtained for the spin magnetization is 2.234 μB per formula unit. Its symmetry is Ia-3d, No. 230. Its density of states at the Fermi level is 45.319 states/eV/cell. Its formation energy without anion corrections is -1.76 eV/atom.

Unit cell a=16.435 b=16.435 c=16.435 alpha=109.47 beta=109.47 gamma=109.47
Sites, in units of the cell vectors:
Ba1 0.125 0.250 0.375
Ba2 0.125 0.375 0.750
Ba3 0.250 0.375 0.125
Ba4 0.250 0.875 0.625
Ba5 0.375 0.125 0.250
Ba6 0.375 0.750 0.125
Ba7 0.625 0.250 0.875
Ba8 0.625 0.875 0.750
Ba9 0.750 0.125 0.375
Ba10 0.750 0.625 0.875
Ba11 0.875 0.625 0.250
Ba12 0.875 0.750 0.625
Sr1 0.000 0.000 0.000
Sr2 0.000 0.000 0.500
Sr3 0.000 0.500 0.000
Sr4 0.000 0.500 0.500
Sr5 0.125 0.750 0.875
Sr6 0.125 0.875 0.250
Sr7 0.250 0.125 0.875
Sr8 0.250 0.625 0.375
Sr9 0.375 0.250 0.625
Sr10 0.375 0.625 0.750
Sr11 0.500 0.000 0.000
Sr12 0.500 0.000 0.500
Sr13 0.500 0.500 0.000
Sr14 0.500 0.500 0.500
Sr15 0.625 0.375 0.250
Sr16 0.625 0.750 0.375
Sr17 0.750 0.375 0.625
Sr18 0.750 0.875 0.125
Sr19 0.875 0.125 0.750
Sr20 0.875 0.250 0.125
Br1 0.048 0.214 0.141
Br2 0.048 0.334 0.907
Br3 0.072 0.714 0.666
Br4 0.072 0.859 0.407
Br5 0.093 0.641 0.428
Br6 0.093 0.952 0.666
Br7 0.141 0.048 0.214
Br8 0.141 0.593 0.928
Br9 0.166 0.214 0.572
Br10 0.166 0.452 0.593
Br11 0.214 0.141 0.048
Br12 0.214 0.572 0.166
Br13 0.286 0.334 0.928
Br14 0.286 0.452 0.359
Br15 0.334 0.907 0.048
Br16 0.334 0.928 0.286
Br17 0.359 0.286 0.452
Br18 0.359 0.572 0.907
Br19 0.407 0.072 0.859
Br20 0.407 0.834 0.548
Br21 0.428 0.093 0.641
Br22 0.428 0.834 0.786
Br23 0.452 0.359 0.286
Br24 0.452 0.593 0.166
Br25 0.548 0.407 0.834
Br26 0.548 0.641 0.714
Br27 0.572 0.166 0.214
Br28 0.572 0.907 0.359
Br29 0.593 0.166 0.452
Br30 0.593 0.928 0.141
Br31 0.641 0.428 0.093
Br32 0.641 0.714 0.548
Br33 0.666 0.072 0.714
Br34 0.666 0.093 0.952
Br35 0.714 0.548 0.641
Br36 0.714 0.666 0.072
Br37 0.786 0.428 0.834
Br38 0.786 0.859 0.952
Br39 0.834 0.548 0.407
Br40 0.834 0.786 0.428
Br41 0.859 0.407 0.072
Br42 0.859 0.952 0.786
Br43 0.907 0.048 0.334
Br44 0.907 0.359 0.572
Br45 0.928 0.141 0.593
Br46 0.928 0.286 0.334
Br47 0.952 0.666 0.093
Br48 0.952 0.786 0.859

---

| no. | VASP energy (eV/atom) | V (Å³/cell) |
| --- | --- | --- |
| 1 | -5.6009 | 76 |
| 2 | -6.7283 | 180 |
| 3 | -5.8413 | 99 |
| 4 | -3.4686 | 3417 |